DFT (PBE) results for a relaxed structure of DyErGa4Ni2. Values from VASP.

Quantum ESPRESSO input file:
```
&SYSTEM
  ibrav = 0, nat = 8, ntyp = 4
/
ATOMIC_SPECIES
Dy 162.50 Dy.upf
Er 167.26 Er.upf
Ga 69.72 Ga.upf
Ni 58.69 Ni.upf
ATOMIC_POSITIONS crystal
Dy 0.000 0.429 0.429
Er 0.500 0.571 0.571
Ga 0.197 0.145 0.145
Ga 0.803 0.145 0.145
Ga 0.304 0.855 0.855
Ga 0.696 0.855 0.855
Ni 0.500 0.289 0.289
Ni 0.000 0.711 0.711
CELL_PARAMETERS angstrom
6.686 0.000 0.000
0.000 2.048 5.023
0.000 -2.048 5.023
```

For the magnetization, the calculation gives 0.01 μB/cell. Its space group is Amm2, No. 38. The raw total energy comes out at -4.7073 eV per atom.